DFT (GGA-PBE) results for a geometry-optimized CoSb2Au structure.

Properties
DOS at the Fermi energy ... 2.5 states/eV/cell
SG ... Pmmm (47)
Total DFT energy (no corrections) ... -4.5257 eV per atom
Relative energy among the computed polymorphs ... 53 meV per atom

The structure in POSCAR format:
```
CoSb2Au
1.0
3.051 0.000 0.000
0.000 3.232 0.000
0.000 0.000 8.180
Co Sb Au
1 2 1
Cartesian
0.000 0.000 0.000
1.526 1.616 1.616
1.526 1.616 6.564
1.526 0.000 4.090
```

---

DFT (GGA-PBE) results for a geometry-optimized CoSb2Au structure.

Properties
DOS at the Fermi energy ... 5.6 states/eV/cell
SG ... F-43m (216)
Total DFT energy (no corrections) ... -4.1193 eV per atom
Relative energy among the computed polymorphs ... 459 meV per atom

The structure in POSCAR format:
```
CoSb2Au
1.0
0.000 3.466 3.466
3.466 0.000 3.466
3.466 3.466 0.000
Co Sb Au
1 2 1
Cartesian
0.000 0.000 0.000
1.733 1.733 1.733
3.466 3.466 3.466
5.199 5.199 5.199
```

---

DFT (GGA-PBE) results for a geometry-optimized Co2SbAu structure.

Properties
DOS at the Fermi energy ... 3.6 states/eV/cell
SG ... C2/m (12)
Total DFT energy (no corrections) ... -5.1070 eV per atom

The structure in POSCAR format:
```
Co2SbAu
1.0
4.008 -1.555 0.000
4.008 1.555 0.000
-1.180 0.000 5.041
Co Sb Au
2 1 1
Cartesian
1.709 0.000 1.116
5.127 0.000 3.924
4.008 0.000 0.000
-0.590 0.000 2.520
```

---

DFT (GGA-PBE) results for a geometry-optimized CoSb2Au structure.

Properties
DOS at the Fermi energy ... 4.2 states/eV/cell
SG ... I4/mmm (139)
Total DFT energy (no corrections) ... -4.3164 eV per atom
Relative energy among the computed polymorphs ... 262 meV per atom

The structure in POSCAR format:
```
CoSb2Au
1.0
-2.274 2.274 3.854
2.274 -2.274 3.854
2.274 2.274 -3.854
Co Sb Au
1 2 1
Cartesian
0.000 0.000 0.000
2.274 0.000 1.927
0.000 2.274 1.927
0.000 0.000 3.854
```

---

DFT (GGA-PBE) results for a geometry-optimized CoSb2Au structure.

Properties
DOS at the Fermi energy ... 3.2 states/eV/cell
SG ... P4mm (99)
Total DFT energy (no corrections) ... -4.4958 eV per atom
Relative energy among the computed polymorphs ... 83 meV per atom

The structure in POSCAR format:
```
CoSb2Au
1.0
3.170 0.000 0.000
0.000 3.170 0.000
0.000 0.000 8.133
Co Sb Au
1 2 1
Cartesian
0.000 0.000 0.000
0.000 0.000 4.398
1.585 1.585 1.391
1.585 1.585 6.441
```

---

DFT (GGA-PBE) results for a geometry-optimized CoSb2Au structure.

Properties
DOS at the Fermi energy ... 4.0 states/eV/cell
SG ... R3m (160)
Total DFT energy (no corrections) ... -4.4989 eV per atom
Relative energy among the computed polymorphs ... 80 meV per atom

The structure in POSCAR format:
```
CoSb2Au
1.0
2.004 1.157 6.282
-2.004 1.157 6.282
0.000 -2.314 6.282
Co Sb Au
1 2 1
Cartesian
0.000 0.000 0.000
0.000 0.000 9.899
0.000 0.000 13.612
0.000 0.000 5.089
```

---

Number 1: formation energy (no corrections) 131 meV/atom. Number 2: formation energy (no corrections) 538 meV/atom. Number 3: formation energy (no corrections) 296 meV/atom. Number 4: formation energy (no corrections) 341 meV/atom. Number 5: formation energy (no corrections) 161 meV/atom. Number 6: formation energy (no corrections) 158 meV/atom.